52
Lattice="6.7571 0.0161 -0.0020 3.3039 8.8373 -0.0190 0.2808 3.2433 10.2932" Properties=species:S:1:pos:R:3 comment="Li4Mo5O17 meta-GGA SCAN PBEsol geometry" total_magnetization_mub_per_atom=0.000 formation_energy_uncorrected_ev_per_atom=-2.218 spacegroup="P-1, No. 2" energy_ev_per_cell=-695.15 pbc="T T T"
Li 3.8716 8.1736 5.8014
Li 6.4701 3.9231 4.4708
Li 8.3534 10.4551 6.5960
Li 1.9884 1.6416 3.6762
Li 0.9390 2.1510 0.5326
Li 3.3613 6.2945 3.1874
Li 9.4028 9.9457 9.7396
Li 6.9805 5.8022 7.0848
O 3.8144 8.5552 8.8889
O 5.1108 2.6628 3.5938
O 0.4304 0.8832 2.7768
O 7.2080 7.0589 5.5418
O 4.8249 7.3153 4.2423
O 6.6207 4.4647 9.6653
O 6.2045 7.2495 1.8113
O 5.5169 4.7814 6.0299
O 2.3488 0.7571 0.3563
O 4.4988 4.9900 2.1279
O 8.6578 7.6775 3.1499
O 4.7544 1.2459 1.6231
O 5.8430 7.1067 8.1443
O 3.1338 5.0378 4.7304
O 1.1126 2.6423 5.1083
O 5.5874 10.8508 8.6490
O 6.1959 9.0763 10.1602
O 3.4068 6.5929 6.9182
O 6.7753 9.2096 3.8309
O 9.2292 9.4544 5.1639
O 2.5984 3.0026 2.4239
O 3.5665 2.8871 6.4413
O 7.7434 9.0941 7.8483
O 4.1373 4.8472 8.4609
O 8.4214 5.5188 0.9726
O 6.9349 5.5038 3.3540
O 1.9204 6.5779 9.2996
O 9.9114 11.2135 7.4954
O 5.2310 9.4339 6.6783
O 7.9930 11.3396 9.9159
O 6.5273 3.5415 1.3832
O 3.7211 7.6320 0.6068
O 4.1459 3.0204 0.1120
O 1.6840 4.4192 7.1223
Mo 6.8271 5.2754 1.5144
Mo 8.9343 9.4274 3.4361
Mo 3.5147 6.8213 8.7578
Mo 6.5515 7.4118 4.0002
Mo 1.4075 2.6693 6.8361
Mo 4.2574 3.2480 2.0825
Mo 6.0844 8.8487 8.1897
Mo 5.3654 7.8674 0.2392
Mo 4.9764 4.2292 10.0329
Mo 3.7903 4.6849 6.2720


5
Lattice="-0.2314 3.6853 3.0494 -4.7172 -0.6817 0.4660 0.7927 -2.9812 3.6631" Properties=species:S:1:pos:R:3 comment="ScTe3O meta-GGA SCAN PBEsol geometry" total_magnetization_mub_per_atom=0.000 formation_energy_uncorrected_ev_per_atom=-0.296 spacegroup="Pm-3m, No. 221" energy_ev_per_cell=-133.70 pbc="T T T"
Te 0.3964 -1.4906 1.8315
Te -0.1157 1.8427 1.5247
Te -2.3586 -0.3409 0.2330
O 0.0000 0.0000 0.0000
Sc -2.0779 0.0112 3.5892


3
Lattice="3.0239 -0.0266 0.0000 -0.7616 2.9265 0.0000 -1.1311 -1.4500 6.8828" Properties=species:S:1:pos:R:3 comment="YInRe meta-GGA SCAN PBEsol geometry" total_magnetization_mub_per_atom=0.000 formation_energy_ev_per_atom=0.33 spacegroup="Fmm2, No. 42" energy_ev_per_cell=-131.33 pbc="T T T"
In 1.1311 1.4500 6.6949
Re 0.0000 0.0000 4.6113
Y 1.1311 1.4500 2.4594


8
Lattice="6.8670 -0.0087 0.0000 -3.2670 6.0401 0.0000 -1.8000 -3.0157 5.9010" Properties=species:S:1:pos:R:3 comment="SiSnI2 meta-GGA SCAN PBEsol geometry" total_magnetization_mub_per_atom=0.000 formation_energy_uncorrected_ev_per_atom=0.514 spacegroup="I-42d, No. 122" energy_ev_per_cell=-234.73 pbc="T T T"
I 3.7438 0.8329 0.1627
I 2.1104 3.8530 2.7878
I 0.5897 0.6706 3.1131
I -2.8438 0.6749 5.7383
Si 1.8000 3.0157 0.0000
Si 3.4335 -0.0044 2.9505
Sn -1.6335 3.0201 2.9505
Sn 0.0000 0.0000 0.0000


4
Lattice="2.4612 0.0000 0.0000 0.0000 5.0028 -0.1289 0.0000 -1.7493 4.6888" Properties=species:S:1:pos:R:3 comment="KFeCo2 meta-GGA SCAN PBEsol geometry" total_magnetization_mub_per_atom=1.532 formation_energy_ev_per_atom=1.18 spacegroup="Cmmm, No. 65" energy_ev_per_cell=-56.36 pbc="T T T"
Fe 1.2306 0.0000 0.0000
Co 0.0000 -0.8746 2.3444
Co 0.0000 2.5014 -0.0645
K 1.2306 1.6268 2.2800


10
Lattice="4.6581 0.0584 0.0000 1.8722 5.5147 0.0000 0.9361 2.7574 7.2245" Properties=species:S:1:pos:R:3 comment="P3Au2 meta-GGA SCAN PBEsol geometry" total_magnetization_mub_per_atom=0.000 formation_energy_ev_per_atom=-0.19 spacegroup="C2/m, No. 12" energy_ev_per_cell=-340.93 pbc="T T T"
P 5.9988 6.5305 5.4787
P 5.0627 3.7731 1.7458
P 2.4038 4.5574 5.4787
P 3.6833 3.8375 0.0000
P 2.8471 1.7356 0.0000
P 1.4677 1.8000 1.7458
Au 2.7971 1.4079 3.6122
Au 1.8722 5.5147 1.5596
Au 0.9361 2.7574 5.6648
Au 3.7332 4.1652 3.6122


22
Lattice="0.1792 3.7063 3.3514 0.3031 -4.7477 1.5388 9.6929 0.0018 0.6542" Properties=species:S:1:pos:R:3 comment="Li4Ni5SbO12 meta-GGA SCAN PBEsol geometry" total_magnetization_mub_per_atom=0.227 formation_energy_uncorrected_ev_per_atom=-1.543 spacegroup="C2/m, No. 12" energy_ev_per_cell=-236.41 pbc="T T T"
Sb 0.0000 0.0000 0.0000
O 6.1743 -0.8224 4.2580
O 6.0177 -1.8279 1.5870
O 8.8163 -3.1714 1.8075
O 8.8051 -0.3908 2.4249
O 4.1576 0.7883 3.9575
O 1.4406 -3.4372 2.5430
O 5.9735 1.1847 2.2329
O 1.3702 -0.6488 3.1195
O 1.3590 2.1318 3.7370
O 4.0009 -0.2172 1.2865
O 8.7346 2.3976 3.0015
O 4.2017 -2.2242 3.3116
Li 2.7416 -1.8673 1.8632
Li 7.4759 -2.0552 3.0631
Li 7.4336 0.8277 3.6812
Li 2.6994 1.0156 2.4813
Ni 0.2204 0.8923 2.7481
Ni 5.1293 -3.3625 2.1628
Ni 5.0876 -0.5198 2.7722
Ni 0.2619 -1.9338 2.1422
Ni 5.0459 2.3229 3.3817


4
Lattice="3.1962 0.0000 0.0000 1.5981 2.7680 0.0000 1.5981 0.9227 8.7675" Properties=species:S:1:pos:R:3 comment="NbPtBr2 meta-GGA SCAN PBEsol geometry" total_magnetization_mub_per_atom=0.000 formation_energy_uncorrected_ev_per_atom=0.115 spacegroup="R-3m, No. 166" energy_ev_per_cell=-141.78 pbc="T T T"
Pt 0.0000 0.0000 0.0000
Br 1.5981 0.9227 6.2822
Br 4.7943 2.7680 2.4853
Nb 3.1962 1.8453 4.3838


5
Lattice="-0.7953 -4.0323 1.4094 4.5012 -0.8618 0.0743 0.2106 1.4737 4.3351" Properties=species:S:1:pos:R:3 comment="NaCoIr2Se meta-GGA SCAN PBEsol geometry" total_magnetization_mub_per_atom=0.295 formation_energy_uncorrected_ev_per_atom=0.866 spacegroup="P4/mmm, No. 123" energy_ev_per_cell=-179.47 pbc="T T T"
Co -0.3977 -2.0162 0.7047
Ir 2.2506 -0.4309 0.0371
Ir 0.1053 0.7368 2.1675
Na 1.9583 -1.7102 2.9094
Se 0.0000 0.0000 0.0000


4
Lattice="4.3607 0.0000 0.0000 0.0000 4.3607 0.0000 -2.1804 -2.1804 4.5903" Properties=species:S:1:pos:R:3 comment="MgAlIn2 meta-GGA SCAN PBEsol geometry" total_magnetization_mub_per_atom=0.000 formation_energy_ev_per_atom=0.00 spacegroup="I-4m2, No. 119" energy_ev_per_cell=-79.50 pbc="T T T"
Mg 2.1804 2.1804 0.0000
Al 0.0000 2.1804 2.2951
In 0.0000 0.0000 0.0000
In 2.1804 0.0000 2.2951


4
Lattice="-3.1219 -0.3679 2.8181 -3.1587 -2.7145 -0.6912 -0.3284 -3.4973 2.3419" Properties=species:S:1:pos:R:3 comment="Si2BCl meta-GGA SCAN PBEsol geometry" total_magnetization_mub_per_atom=0.001 formation_energy_uncorrected_ev_per_atom=1.280 spacegroup="Fm-3m, No. 225" energy_ev_per_cell=-30.32 pbc="T T T"
Si -4.9567 -4.9347 3.3516
Si -1.6522 -1.6449 1.1172
B 0.0000 0.0000 0.0000
Cl -3.3045 -3.2898 2.2344


18
Lattice="5.0862 0.0000 0.0000 -2.5431 4.4048 0.0000 0.0000 0.0000 9.5373" Properties=species:S:1:pos:R:3 comment="LiCrCdF6 meta-GGA SCAN PBEsol geometry" total_magnetization_mub_per_atom=0.333 formation_energy_uncorrected_ev_per_atom=-2.918 spacegroup="P-31c, No. 163" energy_ev_per_cell=-197.38 pbc="T T T"
Li 0.0000 2.9365 7.1530
Li 2.5431 1.4683 2.3843
F 1.8124 0.0638 6.0903
F 3.3941 2.8033 8.2157
F 1.6922 2.8033 6.0903
F 0.8510 1.6015 3.4470
F 0.9615 1.5377 8.2157
F -1.5816 2.8671 3.4470
F 3.2738 0.0638 8.2157
F 1.5816 2.8671 1.3217
F -0.8509 1.6015 1.3217
F 4.1247 1.5377 6.0903
F -0.7307 4.3410 1.3217
F 0.7307 4.3410 3.4470
Cr 0.0000 2.9365 2.3843
Cr 2.5431 1.4683 7.1530
Cd 0.0000 0.0000 0.0000
Cd 0.0000 0.0000 4.7687